# 1
# Ge2Ir3

A geometry-optimized Ge2Ir3 structure (PBE, OQMD).

Values from the calculation:
M_tot (μB/atom): 0.00
Electronic total energy (Ry per atom): -0.5379

Cell: 4.1231 4.1231 5.3387 Å, 90.00 90.00 120.00°
Space group P-3m1 (No. 164)
Inequivalent atoms, fractional coordinates:
Ge1 0.3333 0.6667 0.2087 x2
Ir1 0.0000 0.0000 0.0000 x1
Ir2 0.3333 0.6667 0.6757 x2

=====

# 2
# GeIr15

A geometry-optimized GeIr15 structure (PBE, OQMD).

Values from the calculation:
Energy above the lowest structure with this stoichiometry (eV/atom): 0.040
M_tot (μB/atom): 0.00
Electronic total energy (Ry per atom): -0.6222

Cell: 5.440 3.868 35.648 Å, 90.00 90.00 90.00°
Space group P2_1/m (No. 11)
Inequivalent atoms, fractional coordinates:
Ge1 0.125 0.250 0.287 x2
Ir1 0.125 0.250 0.058 x2
Ir2 0.125 0.250 0.134 x2
Ir3 0.125 0.250 0.212 x2
Ir4 0.125 0.250 0.827 x2
Ir5 0.125 0.250 0.981 x2
Ir6 0.126 0.250 0.904 x2
Ir7 0.129 0.250 0.749 x2
Ir8 0.375 0.750 0.019 x2
Ir9 0.375 0.750 0.173 x2
Ir10 0.375 0.750 0.713 x2
Ir11 0.375 0.750 0.789 x2
Ir12 0.375 0.750 0.865 x2
Ir13 0.375 0.750 0.942 x2
Ir14 0.376 0.750 0.096 x2
Ir15 0.379 0.750 0.251 x2

=====

# 3
# GeIr17

A geometry-optimized GeIr17 structure (PBE, OQMD).

Values from the calculation:
Energy above the lowest structure with this stoichiometry (eV/atom): 0.003
M_tot (μB/atom): 0.00
Electronic total energy (Ry per atom): -0.6225

Cell: 5.4448 5.4448 33.0282 Å, 90.00 90.00 120.00°
Space group P-3m1 (No. 164)
Inequivalent atoms, fractional coordinates:
Ge1 0.3333 0.6667 0.2759 x2
Ir1 0.0000 0.0000 0.0000 x1
Ir2 0.0000 0.0000 0.2038 x2
Ir3 0.0000 0.5000 0.0000 x3
Ir4 0.0012 0.5006 0.2034 x6
Ir5 0.1659 0.3319 0.7305 x6
Ir6 0.1668 0.3337 0.1359 x6
Ir7 0.1669 0.3338 0.9321 x6
Ir8 0.3333 0.6667 0.0677 x2
Ir9 0.3333 0.6667 0.8648 x2

=====

# 4
# GeIr9

A geometry-optimized GeIr9 structure (PBE, OQMD).

Values from the calculation:
Energy above the lowest structure with this stoichiometry (eV/atom): 0.015
M_tot (μB/atom): 0.00
Electronic total energy (Ry per atom): -0.6168

Cell: 2.744 3.871 40.560 Å, 90.00 90.00 90.00°
Space group Pmmn (No. 59, origin choice 2)
Inequivalent atoms, fractional coordinates:
Ge1 0.250 0.250 0.181 x2
Ir1 0.250 0.250 0.247 x2
Ir2 0.250 0.250 0.315 x2
Ir3 0.250 0.250 0.382 x2
Ir4 0.250 0.250 0.449 x2
Ir5 0.250 0.250 0.517 x2
Ir6 0.250 0.250 0.584 x2
Ir7 0.250 0.250 0.652 x2
Ir8 0.250 0.250 0.719 x2
Ir9 0.250 0.250 0.787 x2

=====

# 5
# GeIr15

A geometry-optimized GeIr15 structure (PBE, OQMD).

Values from the calculation:
Energy above the lowest structure with this stoichiometry (eV/atom): 0.056
M_tot (μB/atom): 0.00
Electronic total energy (Ry per atom): -0.6211

Cell: 7.738 2.734 35.569 Å, 90.00 90.01 90.00°
Space group P2_1/m (No. 11)
Inequivalent atoms, fractional coordinates:
Ge1 0.125 0.250 0.213 x2
Ir1 0.125 0.250 0.288 x2
Ir2 0.125 0.250 0.365 x2
Ir3 0.125 0.250 0.442 x2
Ir4 0.125 0.250 0.519 x2
Ir5 0.125 0.250 0.673 x2
Ir6 0.126 0.250 0.596 x2
Ir7 0.127 0.250 0.752 x2
Ir8 0.375 0.750 0.327 x2
Ir9 0.375 0.750 0.480 x2
Ir10 0.375 0.750 0.558 x2
Ir11 0.375 0.750 0.635 x2
Ir12 0.375 0.750 0.785 x2
Ir13 0.376 0.750 0.404 x2
Ir14 0.376 0.750 0.710 x2
Ir15 0.377 0.750 0.248 x2

=====

# 6
# GeIr9

A geometry-optimized GeIr9 structure (PBE, OQMD).

Values from the calculation:
Energy above the lowest structure with this stoichiometry (eV/atom): 0.000
M_tot (μB/atom): 0.00
Electronic total energy (Ry per atom): -0.6179

Cell: 2.749 2.749 51.256 Å, 90.00 90.00 90.00°
Space group P4/nmm (No. 129, origin choice 2)
Inequivalent atoms, fractional coordinates:
Ge1 0.250 0.250 0.143 x2
Ir1 0.250 0.250 0.218 x2
Ir2 0.250 0.250 0.293 x2
Ir3 0.250 0.250 0.368 x2
Ir4 0.250 0.250 0.444 x2
Ir5 0.250 0.250 0.519 x2
Ir6 0.250 0.250 0.594 x2
Ir7 0.250 0.250 0.669 x2
Ir8 0.250 0.250 0.745 x2
Ir9 0.250 0.250 0.820 x2

=====

# 7
# GeIr8

A geometry-optimized GeIr8 structure (PBE, OQMD).

Values from the calculation:
M_tot (μB/atom): 0.00
Electronic total energy (Ry per atom): -0.6089

Cell: 8.580 3.862 29.351 Å, 90.00 90.04 90.00°
Space group C2/m (No. 12)
Inequivalent atoms, fractional coordinates:
Ge1 0.049 0.000 0.248 x4
Ir1 0.049 0.000 0.955 x4
Ir2 0.052 0.500 0.808 x4
Ir3 0.053 0.500 0.103 x4
Ir4 0.149 0.000 0.867 x4
Ir5 0.150 0.500 0.015 x4
Ir6 0.152 0.000 0.163 x4
Ir7 0.247 0.500 0.926 x4
Ir8 0.249 0.500 0.221 x4

=====

# 8
# KMgGe2Ir

A geometry-optimized KMgGe2Ir structure (PBE, OQMD).

Values from the calculation:
M_tot (μB/atom): 0.00
Electronic total energy (Ry per atom): -0.3134

Cell: 4.251 4.251 11.900 Å, 90.00 90.00 90.00°
Space group I-4m2 (No. 119)
Inequivalent atoms, fractional coordinates:
K1 0.000 0.000 0.000 x2
Mg1 0.000 0.500 0.250 x2
Ge1 0.000 0.000 0.374 x4
Ir1 0.000 0.500 0.750 x2

=====

# 9
# K7GeIrO8

A geometry-optimized K7GeIrO8 structure (PBE, OQMD).

Values from the calculation:
M_tot (μB/atom): 0.05
Electronic total energy (Ry per atom): -0.2906

Cell: 11.873 11.873 11.873 Å, 90.00 90.00 90.00°
Space group F-43m (No. 216)
Inequivalent atoms, fractional coordinates:
K1 0.000 0.000 0.000 x4
K2 0.021 0.250 0.750 x24
Ge1 0.000 0.000 0.500 x4
Ir1 0.250 0.250 0.250 x4
O1 0.087 0.087 0.587 x16
O2 0.122 0.122 0.878 x16

=====

# 10
# LaLuGe2Ir

A geometry-optimized LaLuGe2Ir structure (PBE, OQMD).

Values from the calculation:
M_tot (μB/atom): 0.00
Electronic total energy (Ry per atom): -0.4680

Cell: 10.909 4.218 11.059 Å, 90.00 117.18 90.00°
Space group C2/m (No. 12)
Inequivalent atoms, fractional coordinates:
La1 0.208 0.000 0.152 x4
Lu1 0.090 0.500 0.392 x4
Ge1 0.043 0.500 0.913 x4
Ge2 0.119 0.000 0.606 x4
Ir1 0.052 0.000 0.798 x4

=====

# 11
# LaNd2Ge4Ir4

A geometry-optimized LaNd2Ge4Ir4 structure (PBE, OQMD).

Values from the calculation:
M_tot (μB/atom): 0.00
Electronic total energy (Ry per atom): -0.5169

Cell: 4.156 4.270 25.338 Å, 90.00 90.00 90.00°
Space group Immm (No. 71)
Inequivalent atoms, fractional coordinates:
La1 0.000 0.000 0.000 x2
Nd1 0.000 0.500 0.145 x4
Ge1 0.000 0.000 0.450 x4
Ge2 0.000 0.500 0.303 x4
Ir1 0.000 0.000 0.250 x4
Ir2 0.000 0.500 0.401 x4

=====

# 12
# LaNd2Ni2Ge4Ir2

A geometry-optimized LaNd2Ni2Ge4Ir2 structure (PBE, OQMD).

Values from the calculation:
Energy above the lowest structure with this stoichiometry (eV/atom): 0.042
M_tot (μB/atom): 0.00
Electronic total energy (Ry per atom): -0.4676

Cell: 4.131 4.283 24.430 Å, 90.00 90.00 90.00°
Space group Immm (No. 71)
Inequivalent atoms, fractional coordinates:
La1 0.000 0.000 0.000 x2
Nd1 0.000 0.500 0.151 x4
Ni1 0.000 0.000 0.249 x4
Ge1 0.000 0.000 0.448 x4
Ge2 0.000 0.500 0.299 x4
Ir1 0.000 0.500 0.401 x4

=====

# 13
# LaNd2Ni2Ge4Ir2

A geometry-optimized LaNd2Ni2Ge4Ir2 structure (PBE, OQMD).

Values from the calculation:
Energy above the lowest structure with this stoichiometry (eV/atom): 0.000
M_tot (μB/atom): 0.00
Electronic total energy (Ry per atom): -0.4707

Cell: 4.170 4.235 24.510 Å, 90.00 90.00 90.00°
Space group Immm (No. 71)
Inequivalent atoms, fractional coordinates:
La1 0.000 0.000 0.000 x2
Nd1 0.000 0.500 0.147 x4
Ni1 0.000 0.500 0.403 x4
Ge1 0.000 0.000 0.447 x4
Ge2 0.000 0.500 0.307 x4
Ir1 0.000 0.000 0.249 x4

=====

# 14
# La2NdGe4Ir2Pt2

A geometry-optimized La2NdGe4Ir2Pt2 structure (PBE, OQMD).

Values from the calculation:
M_tot (μB/atom): 0.00
Electronic total energy (Ry per atom): -0.4921

Cell: 4.151 4.330 25.516 Å, 90.00 90.00 90.00°
Space group Immm (No. 71)
Inequivalent atoms, fractional coordinates:
La1 0.000 0.000 0.147 x4
Nd1 0.000 0.500 0.000 x2
Ge1 0.000 0.000 0.303 x4
Ge2 0.000 0.500 0.451 x4
Ir1 0.000 0.500 0.250 x4
Pt1 0.000 0.000 0.402 x4

=====

# 15
# LaNd2Si2Ge2Ir4

A geometry-optimized LaNd2Si2Ge2Ir4 structure (PBE, OQMD).

Values from the calculation:
M_tot (μB/atom): 0.00
Electronic total energy (Ry per atom): -0.5379

Cell: 4.124 4.228 24.982 Å, 90.00 90.00 90.00°
Space group Immm (No. 71)
Inequivalent atoms, fractional coordinates:
La1 0.000 0.000 0.000 x2
Nd1 0.000 0.500 0.146 x4
Si1 0.000 0.500 0.301 x4
Ge1 0.000 0.000 0.449 x4
Ir1 0.000 0.000 0.250 x4
Ir2 0.000 0.500 0.396 x4

=====

# 16
# La2NiGe4Ir

A geometry-optimized La2NiGe4Ir structure (PBE, OQMD).

Values from the calculation:
M_tot (μB/atom): 0.00
Electronic total energy (Ry per atom): -0.4514

Cell: 4.346 4.355 17.121 Å, 90.00 90.00 90.00°
Space group Amm2 (No. 38)
Inequivalent atoms, fractional coordinates:
La1 0.000 0.000 0.000 x2
La2 0.500 0.000 0.217 x2
Ni1 0.000 0.000 0.788 x2
Ge1 0.000 0.000 0.353 x2
Ge2 0.000 0.000 0.652 x2
Ge3 0.500 0.000 0.570 x2
Ge4 0.500 0.000 0.853 x2
Ir1 0.500 0.000 0.427 x2

=====

# 17
# LaSm2Ni2Ge4Ir2

A geometry-optimized LaSm2Ni2Ge4Ir2 structure (PBE, OQMD).

Values from the calculation:
M_tot (μB/atom): 0.00
Electronic total energy (Ry per atom): -0.4707

Cell: 4.146 4.224 24.360 Å, 90.00 90.00 90.00°
Space group Immm (No. 71)
Inequivalent atoms, fractional coordinates:
La1 0.000 0.000 0.000 x2
Sm1 0.000 0.500 0.147 x4
Ni1 0.000 0.500 0.403 x4
Ge1 0.000 0.000 0.447 x4
Ge2 0.000 0.500 0.307 x4
Ir1 0.000 0.000 0.249 x4

=====

# 18
# LaGePIr2

A geometry-optimized LaGePIr2 structure (PBE, OQMD).

Values from the calculation:
M_tot (μB/atom): 0.00
Electronic total energy (Ry per atom): -0.5462

Cell: 4.184 4.184 10.204 Å, 90.00 90.00 90.00°
Space group P4/nmm (No. 129, origin choice 2)
Inequivalent atoms, fractional coordinates:
La1 0.250 0.250 0.250 x2
Ge1 0.250 0.750 0.000 x2
P1 0.250 0.250 0.632 x2
Ir1 0.250 0.250 0.859 x2
Ir2 0.250 0.750 0.500 x2